No. 1
# LiLa3Pr12 PBE optimized geometry
data_LiLa3Pr12
_chemical_formula_sum 'Li1 La3 Pr12'
_cell_length_a 5.2407
_cell_length_b 5.2407
_cell_length_c 20.7146
_cell_angle_alpha 90.00
_cell_angle_beta 90.00
_cell_angle_gamma 90.00
_space_group_name_H-M_alt 'P 1'
_space_group_IT_number 1
loop_
_space_group_symop_operation_xyz
'x,y,z'
loop_
_atom_site_label
_atom_site_type_symbol
_atom_site_fract_x
_atom_site_fract_y
_atom_site_fract_z
Pr1 Pr 0.5000 0.0000 0.1205
Pr2 Pr 0.5000 0.0000 0.3731
Pr3 Pr 0.5000 0.5000 0.2428
Pr4 Pr 0.0000 0.5000 0.6269
Pr5 Pr 0.0000 0.5000 0.1205
Pr6 Pr 0.5000 0.5000 0.0000
Pr7 Pr 0.5000 0.0000 0.6269
Pr8 Pr 0.5000 0.0000 0.8795
Pr9 Pr 0.5000 0.5000 0.7572
Pr10 Pr 0.0000 0.5000 0.8795
Pr11 Pr 0.5000 0.5000 0.5000
Pr12 Pr 0.0000 0.5000 0.3731
La1 La 0.0000 0.0000 0.7554
La2 La 0.0000 0.0000 0.5000
La3 La 0.0000 0.0000 0.2446
Li1 Li 0.0000 0.0000 0.0000
# Symmetry ... P4/mmm
# DOS(E_F) ... 1.4592 states/eV per atom
# Formation enthalpy at 0 K ... 0.043 eV/atom
# Calculated volume ... 35.56 Å³ per atom

---

No. 2
# LiLaPr PBE optimized geometry
data_LiLaPr
_chemical_formula_sum 'Li2 La2 Pr2'
_cell_length_a 3.7325
_cell_length_b 3.7325
_cell_length_c 13.4822
_cell_angle_alpha 89.99
_cell_angle_beta 89.99
_cell_angle_gamma 90.03
_space_group_name_H-M_alt 'P 1'
_space_group_IT_number 1
loop_
_space_group_symop_operation_xyz
'x,y,z'
loop_
_atom_site_label
_atom_site_type_symbol
_atom_site_fract_x
_atom_site_fract_y
_atom_site_fract_z
Li1 Li 0.7504 0.7504 0.5482
Li2 Li 0.2496 0.2496 0.4518
Pr1 Pr 0.7496 0.7496 0.2895
Pr2 Pr 0.2504 0.2504 0.7105
La1 La 0.7499 0.7499 0.9005
La2 La 0.2501 0.2501 0.0995
# Symmetry ... P4/nmm
# DOS(E_F) ... 1.2397 states/eV per atom
# Formation enthalpy at 0 K ... 0.042 eV/atom
# Energy above the most stable polymorph in this dataset ... 0 meV per atom
# Calculated volume ... 31.30 Å³ per atom

---

No. 3
# LiLaPr2 PBE optimized geometry
data_LiLaPr2
_chemical_formula_sum 'Li1 La1 Pr2'
_cell_length_a 5.7226
_cell_length_b 5.7226
_cell_length_c 5.7279
_cell_angle_alpha 60.03
_cell_angle_beta 60.03
_cell_angle_gamma 60.00
_space_group_name_H-M_alt 'P 1'
_space_group_IT_number 1
loop_
_space_group_symop_operation_xyz
'x,y,z'
loop_
_atom_site_label
_atom_site_type_symbol
_atom_site_fract_x
_atom_site_fract_y
_atom_site_fract_z
Li1 Li 0.7499 0.7499 0.7502
La1 La 0.5006 0.5006 0.4981
Pr1 Pr 0.2501 0.2501 0.2498
Pr2 Pr 0.9994 0.9994 0.0018
# Symmetry ... R3m
# DOS(E_F) ... 1.7931 states/eV per atom
# Formation enthalpy at 0 K ... 0.176 eV/atom
# Energy above the most stable polymorph in this dataset ... 120 meV per atom
# Calculated volume ... 33.17 Å³ per atom

---

No. 4
# LiLa2Pr PBE optimized geometry
data_LiLa2Pr
_chemical_formula_sum 'Li1 La2 Pr1'
_cell_length_a 3.5985
_cell_length_b 3.5985
_cell_length_c 12.8938
_cell_angle_alpha 81.98
_cell_angle_beta 81.98
_cell_angle_gamma 60.00
_space_group_name_H-M_alt 'P 1'
_space_group_IT_number 1
loop_
_space_group_symop_operation_xyz
'x,y,z'
loop_
_atom_site_label
_atom_site_type_symbol
_atom_site_fract_x
_atom_site_fract_y
_atom_site_fract_z
La1 La 0.0881 0.0881 0.7356
La2 La 0.9119 0.9119 0.2644
Li1 Li 0.0000 0.0000 0.0000
Pr1 Pr 0.5000 0.5000 0.5000
# Symmetry ... R-3m
# DOS(E_F) ... 1.4324 states/eV per atom
# Formation enthalpy at 0 K ... 0.169 eV/atom
# Energy above the most stable polymorph in this dataset ... 114 meV per atom
# Calculated volume ... 35.68 Å³ per atom

---

No. 5
# LiLaPr2 PBE optimized geometry
data_LiLaPr2
_chemical_formula_sum 'Li1 La1 Pr2'
_cell_length_a 3.7128
_cell_length_b 5.9305
_cell_length_c 5.9305
_cell_angle_alpha 90.00
_cell_angle_beta 90.00
_cell_angle_gamma 90.00
_space_group_name_H-M_alt 'P 1'
_space_group_IT_number 1
loop_
_space_group_symop_operation_xyz
'x,y,z'
loop_
_atom_site_label
_atom_site_type_symbol
_atom_site_fract_x
_atom_site_fract_y
_atom_site_fract_z
La1 La 0.5000 0.5000 0.5000
Pr1 Pr 0.0000 0.5000 0.0000
Pr2 Pr 0.0000 0.0000 0.5000
Li1 Li 0.5000 0.0000 0.0000
# Symmetry ... P4/mmm
# DOS(E_F) ... 1.7263 states/eV per atom
# Formation enthalpy at 0 K ... 0.123 eV/atom
# Energy above the most stable polymorph in this dataset ... 67 meV per atom
# Calculated volume ... 32.65 Å³ per atom

---

No. 6
# LiLa8Pr4 PBE optimized geometry
data_LiLa8Pr4
_chemical_formula_sum 'Li1 La8 Pr4'
_cell_length_a 5.3702
_cell_length_b 6.4958
_cell_length_c 16.8212
_cell_angle_alpha 59.63
_cell_angle_beta 80.81
_cell_angle_gamma 65.58
_space_group_name_H-M_alt 'P 1'
_space_group_IT_number 1
loop_
_space_group_symop_operation_xyz
'x,y,z'
loop_
_atom_site_label
_atom_site_type_symbol
_atom_site_fract_x
_atom_site_fract_y
_atom_site_fract_z
Pr1 Pr 0.1040 0.6862 0.1058
Pr2 Pr 0.6710 0.1506 0.5075
Pr3 Pr 0.9276 0.3169 0.8280
Pr4 Pr 0.3603 0.8531 0.4263
La1 La 0.9877 0.4358 0.5889
La2 La 0.7856 0.3911 0.0378
La3 La 0.7290 0.2739 0.2682
La4 La 0.0438 0.5676 0.3449
La5 La 0.3024 0.7297 0.6656
La6 La 0.2459 0.6123 0.8959
La7 La 0.6131 0.0254 0.7485
La8 La 0.4184 0.9779 0.1853
Li1 Li 0.5157 0.0016 0.9669
# Symmetry ... C2/m
# DOS(E_F) ... 1.6023 states/eV per atom
# Formation enthalpy at 0 K ... 0.040 eV/atom
# Calculated volume ... 35.39 Å³ per atom

---

No. 7
# LiLaPr2 PBE optimized geometry
data_LiLaPr2
_chemical_formula_sum 'Li1 La1 Pr2'
_cell_length_a 5.6694
_cell_length_b 5.6694
_cell_length_c 5.6694
_cell_angle_alpha 60.00
_cell_angle_beta 60.00
_cell_angle_gamma 60.00
_space_group_name_H-M_alt 'P 1'
_space_group_IT_number 1
loop_
_space_group_symop_operation_xyz
'x,y,z'
loop_
_atom_site_label
_atom_site_type_symbol
_atom_site_fract_x
_atom_site_fract_y
_atom_site_fract_z
Li1 Li 0.5000 0.5000 0.5000
La1 La 0.0000 0.0000 0.0000
Pr1 Pr 0.7500 0.7500 0.7500
Pr2 Pr 0.2500 0.2500 0.2500
# Symmetry ... Fm-3m
# DOS(E_F) ... 1.9031 states/eV per atom
# Formation enthalpy at 0 K ... 0.200 eV/atom
# Energy above the most stable polymorph in this dataset ... 144 meV per atom
# Calculated volume ... 32.21 Å³ per atom

---

No. 8
# LiLaPr PBE optimized geometry
data_LiLaPr
_chemical_formula_sum 'Li1 La1 Pr1'
_cell_length_a 3.7950
_cell_length_b 3.7950
_cell_length_c 7.0632
_cell_angle_alpha 105.58
_cell_angle_beta 105.58
_cell_angle_gamma 90.00
_space_group_name_H-M_alt 'P 1'
_space_group_IT_number 1
loop_
_space_group_symop_operation_xyz
'x,y,z'
loop_
_atom_site_label
_atom_site_type_symbol
_atom_site_fract_x
_atom_site_fract_y
_atom_site_fract_z
Pr1 Pr 0.3205 0.3205 0.6409
Li1 Li 0.6688 0.6688 0.3375
La1 La 0.0108 0.0108 0.0215
# Symmetry ... I4mm
# DOS(E_F) ... 1.3808 states/eV per atom
# Formation enthalpy at 0 K ... 0.073 eV/atom
# Energy above the most stable polymorph in this dataset ... 31 meV per atom
# Calculated volume ... 31.37 Å³ per atom

---

No. 9
# Li2LaPr PBE optimized geometry
data_Li2LaPr
_chemical_formula_sum 'Li2 La1 Pr1'
_cell_length_a 3.4062
_cell_length_b 3.4062
_cell_length_c 12.3918
_cell_angle_alpha 82.10
_cell_angle_beta 82.10
_cell_angle_gamma 60.00
_space_group_name_H-M_alt 'P 1'
_space_group_IT_number 1
loop_
_space_group_symop_operation_xyz
'x,y,z'
loop_
_atom_site_label
_atom_site_type_symbol
_atom_site_fract_x
_atom_site_fract_y
_atom_site_fract_z
La1 La 0.0000 0.0000 0.0000
Li1 Li 0.0889 0.0889 0.7332
Li2 Li 0.9111 0.9111 0.2668
Pr1 Pr 0.5000 0.5000 0.5000
# Symmetry ... R-3m
# DOS(E_F) ... 1.2679 states/eV per atom
# Formation enthalpy at 0 K ... 0.244 eV/atom
# Energy above the most stable polymorph in this dataset ... 101 meV per atom
# Calculated volume ... 30.73 Å³ per atom

---

No. 10
# Li2LaPr PBE optimized geometry
data_Li2LaPr
_chemical_formula_sum 'Li2 La1 Pr1'
_cell_length_a 3.5050
_cell_length_b 3.5050
_cell_length_c 11.3876
_cell_angle_alpha 81.15
_cell_angle_beta 81.15
_cell_angle_gamma 60.00
_space_group_name_H-M_alt 'P 1'
_space_group_IT_number 1
loop_
_space_group_symop_operation_xyz
'x,y,z'
loop_
_atom_site_label
_atom_site_type_symbol
_atom_site_fract_x
_atom_site_fract_y
_atom_site_fract_z
Li1 Li 0.2493 0.2493 0.2522
Li2 Li 0.0840 0.0840 0.7480
La1 La 0.6679 0.6679 0.9963
Pr1 Pr 0.4988 0.4988 0.5035
# Symmetry ... R3m
# DOS(E_F) ... 0.8385 states/eV per atom
# Formation enthalpy at 0 K ... 0.144 eV/atom
# Energy above the most stable polymorph in this dataset ... 0 meV per atom
# Calculated volume ... 29.81 Å³ per atom

---

No. 11
# LiLa5Pr8 PBE optimized geometry
data_LiLa5Pr8
_chemical_formula_sum 'Li1 La5 Pr8'
_cell_length_a 8.6841
_cell_length_b 8.6836
_cell_length_c 8.6841
_cell_angle_alpha 110.57
_cell_angle_beta 107.29
_cell_angle_gamma 110.57
_space_group_name_H-M_alt 'P 1'
_space_group_IT_number 1
loop_
_space_group_symop_operation_xyz
'x,y,z'
loop_
_atom_site_label
_atom_site_type_symbol
_atom_site_fract_x
_atom_site_fract_y
_atom_site_fract_z
Pr1 Pr 0.5452 0.8789 0.8165
Pr2 Pr 0.3336 0.2712 0.4546
Pr3 Pr 0.9375 0.1211 0.6663
Pr4 Pr 0.5275 0.5998 0.2666
Pr5 Pr 0.0723 0.7390 0.4724
Pr6 Pr 0.1834 0.7288 0.0624
Pr7 Pr 0.6667 0.4002 0.9277
Pr8 Pr 0.7334 0.2610 0.3332
La1 La 0.8674 0.8891 0.1758
La2 La 0.0216 0.3083 0.1324
La3 La 0.5000 0.0000 0.5000
La4 La 0.2868 0.1109 0.9783
La5 La 0.8241 0.6917 0.7132
Li1 Li 0.2506 0.5000 0.7506
# Symmetry ... C2
# DOS(E_F) ... 1.4562 states/eV per atom
# Formation enthalpy at 0 K ... 0.194 eV/atom
# Calculated volume ... 35.97 Å³ per atom

---

No. 12
# LiLa5Pr4 PBE optimized geometry
data_LiLa5Pr4
_chemical_formula_sum 'Li1 La5 Pr4'
_cell_length_a 3.7300
_cell_length_b 3.7300
_cell_length_c 25.3111
_cell_angle_alpha 90.00
_cell_angle_beta 90.00
_cell_angle_gamma 90.00
_space_group_name_H-M_alt 'P 1'
_space_group_IT_number 1
loop_
_space_group_symop_operation_xyz
'x,y,z'
loop_
_atom_site_label
_atom_site_type_symbol
_atom_site_fract_x
_atom_site_fract_y
_atom_site_fract_z
Pr1 Pr 0.0000 0.0000 0.6040
Pr2 Pr 0.0000 0.0000 0.1871
Pr3 Pr 0.0000 0.0000 0.8129
Pr4 Pr 0.0000 0.0000 0.3960
La1 La 0.5000 0.5000 0.0857
La2 La 0.5000 0.5000 0.9143
La3 La 0.5000 0.5000 0.7089
La4 La 0.5000 0.5000 0.2911
La5 La 0.5000 0.5000 0.5000
Li1 Li 0.0000 0.0000 0.0000
# Symmetry ... P4/mmm
# DOS(E_F) ... 1.4908 states/eV per atom
# Formation enthalpy at 0 K ... 0.026 eV/atom
# Calculated volume ... 35.22 Å³ per atom

---

Q: Among the records above, which one has the highest formation enthalpy at 0 K?
A: number 9

---

Q: Which of these has the highest formation enthalpy at 0 K?
A: number 9

---

Q: What is the DOS(E_F) in the fifth record?
A: 1.7263 states/eV per atom